Record 1
# Ac2SmSn3Au4, optimized geometry, DFT PBE
data_Ac2SmSn3Au4
_chemical_formula_sum 'Ac2 Sm1 Sn3 Au4'
_symmetry_space_group_name_H-M 'P -4 m 2'
_symmetry_Int_Tables_number 115
_cell_length_a 4.7551
_cell_length_b 4.7551
_cell_length_c 11.9239
_cell_angle_alpha 90.00
_cell_angle_beta 90.00
_cell_angle_gamma 90.00
loop_
_symmetry_equiv_pos_as_xyz
'x,y,z'
'y,-x,-z'
'-x,-y,z'
'-y,x,-z'
'-x,y,z'
'-y,-x,-z'
'x,-y,z'
'y,x,-z'
loop_
_atom_site_label
_atom_site_type_symbol
_atom_site_fract_x
_atom_site_fract_y
_atom_site_fract_z
_atom_site_occupancy
Ac1 Ac 0.0000 0.5000 0.2172 1
Sm1 Sm 0.0000 0.0000 0.5000 1
Sn1 Sn 0.0000 0.5000 0.8737 1
Sn2 Sn 0.5000 0.5000 0.5000 1
Au1 Au 0.0000 0.0000 0.0000 1
Au2 Au 0.0000 0.5000 0.6473 1
Au3 Au 0.5000 0.5000 0.0000 1
# E, eV per atom: -4.49
# ρ, g/cm³: 10.768

Record 2
# AcSmTeAu, optimized geometry, DFT PBE
data_AcSmTeAu
_chemical_formula_sum 'Ac4 Sm4 Te4 Au4'
_symmetry_space_group_name_H-M 'F -4 3 m'
_symmetry_Int_Tables_number 216
_symmetry_space_group_name_Hall 'F -4 2 3'
_cell_length_a 7.7963
_cell_length_b 7.7963
_cell_length_c 7.7963
_cell_angle_alpha 90.00
_cell_angle_beta 90.00
_cell_angle_gamma 90.00
loop_
_atom_site_label
_atom_site_type_symbol
_atom_site_fract_x
_atom_site_fract_y
_atom_site_fract_z
_atom_site_occupancy
Ac1 Ac 0.0000 0.0000 0.0000 1
Sm1 Sm 0.0000 0.0000 0.5000 1
Te1 Te 0.2500 0.2500 0.7500 1
Au1 Au 0.2500 0.2500 0.2500 1
# ΔE_f (raw), eV/atom: -0.84
# ρ, g/cm³: 9.839

Record 3
# Ac2SmTe5Au, optimized geometry, DFT PBE
data_Ac2SmTe5Au
_chemical_formula_sum 'Ac8 Sm4 Te20 Au4'
_symmetry_space_group_name_H-M 'C m c 21'
_symmetry_Int_Tables_number 36
_cell_length_a 4.5258
_cell_length_b 19.6937
_cell_length_c 13.5372
_cell_angle_alpha 90.00
_cell_angle_beta 90.00
_cell_angle_gamma 90.00
loop_
_symmetry_equiv_pos_as_xyz
'x,y,z'
'-x,-y,z+1/2'
'-x,y,z'
'x,-y,z+1/2'
'x+1/2,y+1/2,z'
'-x+1/2,-y+1/2,z+1/2'
'-x+1/2,y+1/2,z'
'x+1/2,-y+1/2,z+1/2'
loop_
_atom_site_label
_atom_site_type_symbol
_atom_site_fract_x
_atom_site_fract_y
_atom_site_fract_z
_atom_site_occupancy
Ac1 Ac 0.0000 0.1138 0.0000 1
Ac2 Ac 0.0000 0.1230 0.6230 1
Sm1 Sm 0.0000 0.1890 0.3215 1
Te1 Te 0.0000 0.0406 0.3780 1
Te2 Te 0.0000 0.2899 0.9823 1
Te3 Te 0.0000 0.3053 0.6561 1
Te4 Te 0.0000 0.3532 0.3138 1
Te5 Te 0.0000 0.5002 0.0888 1
Au1 Au 0.0000 0.4275 0.7687 1
# ΔE_f (raw), eV/atom: -1.32
# ρ, g/cm³: 7.923